[1]
The following is a PBEsol calculation of a relaxed structure of InRh3, from Alexandria.

## Properties
Calculated formation energy in kJ per mole of atoms: -13
Total energy in eV for the cell shown: -55.9
V in Å³ per atom: 14.82

Lattice parameters (Å, degrees): 5.533 5.533 4.471 90.00 90.00 120.00
Sites, in units of the cell vectors:
In (0.333, 0.667, 0.250)
In (0.667, 0.333, 0.750)
Rh (0.163, 0.326, 0.750)
Rh (0.163, 0.837, 0.750)
Rh (0.326, 0.163, 0.250)
Rh (0.674, 0.837, 0.750)
Rh (0.837, 0.163, 0.250)
Rh (0.837, 0.674, 0.250)

[2]
The following is a PBEsol calculation of a relaxed structure of AgIrW2, from Alexandria.

## Properties
Calculated formation energy in kJ per mole of atoms: 32
Offset from the most stable computed form in meV per atom: 107
Total energy in eV for the cell shown: -39.4
V in Å³ per atom: 15.17

Lattice parameters (Å, degrees): 3.865 3.865 4.061 90.00 90.00 90.00
Sites, in units of the cell vectors:
Ag (0.000, 0.000, 0.000)
Ir (0.500, 0.500, 0.000)
W (0.000, 0.500, 0.500)
W (0.500, 0.000, 0.500)

[3]
The following is a PBEsol calculation of a relaxed structure of K2TlTc, from Alexandria.

## Properties
Calculated formation energy in kJ per mole of atoms: 100
Offset from the most stable computed form in meV per atom: 18
Total energy in eV for the cell shown: -12.0
V in Å³ per atom: 24.46

Lattice parameters (Å, degrees): 2.933 5.747 5.803 90.00 90.00 90.00
Sites, in units of the cell vectors:
K (0.000, 0.000, 0.243)
K (0.000, 0.000, 0.757)
Tl (0.500, 0.500, 0.500)
Tc (0.500, 0.500, 0.000)

[4]
The following is a PBEsol calculation of a relaxed structure of MgNi, from Alexandria.

## Properties
Calculated formation energy in kJ per mole of atoms: -1
Total energy in eV for the cell shown: -15.8
V in Å³ per atom: 14.68

Lattice parameters (Å, degrees): 2.925 2.925 6.863 90.00 90.00 90.00
Sites, in units of the cell vectors:
Mg (0.250, 0.250, 0.181)
Mg (0.750, 0.750, 0.819)
Ni (0.250, 0.250, 0.591)
Ni (0.750, 0.750, 0.409)

[5]
The following is a PBEsol calculation of a relaxed structure of ReAsRhSe2, from Alexandria.

## Properties
Offset from the most stable computed form in meV per atom: 0
Formation energy from raw total energies in meV per atom: 1067.7
Total energy in eV for the cell shown: -28.9
V in Å³ per atom: 21.34

Lattice parameters (Å, degrees): 4.750 4.750 4.730 90.00 90.00 90.00
Sites, in units of the cell vectors:
Re (0.000, 0.000, 0.000)
As (0.000, 0.000, 0.500)
Rh (0.500, 0.500, 0.500)
Se (0.000, 0.500, 0.000)
Se (0.500, 0.000, 0.000)

[6]
The following is a PBEsol calculation of a relaxed structure of CaReO2, from Alexandria.

## Properties
Formation energy from raw total energies in meV per atom: -1178.0
Total energy in eV for the cell shown: -61.4
V in Å³ per atom: 14.39

Lattice parameters (Å, degrees): 6.609 6.609 6.609 140.65 140.65 56.87
Sites, in units of the cell vectors:
Ca (0.000, 0.000, 0.000)
Ca (0.750, 0.250, 0.500)
Re (0.250, 0.750, 0.500)
Re (0.500, 0.500, 0.000)
O (0.213, 0.625, 0.088)
O (0.375, 0.463, 0.588)
O (0.537, 0.125, 0.912)
O (0.875, 0.787, 0.412)

[7]
The following is a PBEsol calculation of a relaxed structure of LiZnAg, from Alexandria.

## Properties
Calculated formation energy in kJ per mole of atoms: -17
Offset from the most stable computed form in meV per atom: 0
Total energy in eV for the cell shown: -7.4
V in Å³ per atom: 14.75

Lattice parameters (Å, degrees): 2.813 3.801 4.756 113.50 106.81 90.12
Sites, in units of the cell vectors:
Li (0.000, 0.000, 0.000)
Zn (0.667, 0.666, 0.332)
Ag (0.332, 0.332, 0.664)

[8]
The following is a PBEsol calculation of a relaxed structure of Mg3CoCl, from Alexandria.

## Properties
Offset from the most stable computed form in meV per atom: 308
Formation energy from raw total energies in meV per atom: 510.0
Total energy in eV for the cell shown: -12.3
V in Å³ per atom: 21.21

Lattice parameters (Å, degrees): 4.734 4.734 4.734 90.00 90.00 90.00
Sites, in units of the cell vectors:
Mg (0.000, 0.000, 0.500)
Mg (0.000, 0.500, 0.000)
Mg (0.500, 0.000, 0.000)
Co (0.500, 0.500, 0.500)
Cl (0.000, 0.000, 0.000)